Record 1
First-principles (GGA-PBE) data for a relaxed structure of CsPtS, as listed in OQMD.

- Space-group type: No. 160
- Raw total energy: -4.17 eV per atom

Cell and atoms, written as POSCAR:
```
CsPtS
1.0
2.024 1.168 6.004
-2.024 1.168 6.004
0.000 -2.337 6.004
Cs Pt S
1 1 1
Cartesian
0.000 0.000 0.000 Cs
0.000 0.000 9.101 Pt
0.000 0.000 3.407 S
```

Record 2
First-principles (GGA-PBE) data for a relaxed structure of CsPt3S5, as listed in OQMD.

- Space-group type: No. 191
- Raw total energy: -4.74 eV per atom

Cell and atoms, written as POSCAR:
```
CsPt3S5
1.0
6.127 0.000 0.000
-3.063 5.306 0.000
0.000 0.000 7.089
Cs Pt S
1 3 5
Cartesian
0.000 0.000 0.000 Cs
-1.532 2.653 3.544 Pt
3.063 0.000 3.544 Pt
1.532 2.653 3.544 Pt
0.000 0.000 3.544 S
0.000 3.537 1.980 S
0.000 3.537 5.109 S
3.063 1.769 1.980 S
3.063 1.769 5.109 S
```

Record 3
First-principles (GGA-PBE) data for a relaxed structure of Cs2Pt2S, as listed in OQMD.

- Space-group type: No. 71
- Raw total energy: -3.80 eV per atom

Cell and atoms, written as POSCAR:
```
Cs2Pt2S
1.0
-2.098 2.712 6.352
2.098 -2.712 6.352
2.098 2.712 -6.352
Cs Pt S
2 2 1
Cartesian
0.000 0.000 2.361 Cs
0.000 0.000 10.344 Cs
2.098 1.347 0.000 Pt
0.000 1.365 6.352 Pt
0.000 2.712 0.000 S
```

Record 4
First-principles (GGA-PBE) data for a relaxed structure of Cs4PtS, as listed in OQMD.

- Space-group type: No. 123
- Raw total energy: -2.80 eV per atom

Cell and atoms, written as POSCAR:
```
Cs4PtS
1.0
5.816 0.000 0.000
0.000 5.816 0.000
0.000 0.000 8.196
Cs Pt S
4 1 1
Cartesian
0.000 2.908 2.050 Cs
0.000 2.908 6.146 Cs
2.908 0.000 2.050 Cs
2.908 0.000 6.146 Cs
0.000 0.000 0.000 Pt
2.908 2.908 4.098 S
```